No. 1
# K2BaSe PBEsol optimized geometry
data_K2BaSe
_chemical_formula_sum 'K4 Ba2 Se2'
_cell_length_a 8.0941
_cell_length_b 4.6695
_cell_length_c 11.9648
_cell_angle_alpha 90.00
_cell_angle_beta 102.49
_cell_angle_gamma 90.00
_space_group_name_H-M_alt 'P 1'
_space_group_IT_number 1
loop_
_space_group_symop_operation_xyz
'x,y,z'
loop_
_atom_site_label
_atom_site_fract_x
_atom_site_fract_y
_atom_site_fract_z
K1 0.0000 0.0000 0.0000
K2 0.2112 0.0000 0.6474
K3 0.5000 0.5000 0.0000
K4 0.7112 0.5000 0.6474
Ba1 0.4303 0.0000 0.3035
Ba2 0.9303 0.5000 0.3035
Se1 0.2193 0.5000 0.1653
Se2 0.7193 0.0000 0.1653
# Crystal system: monoclinic
# Uncorrected formation energy: -0.8516 eV per atom
# SG: Cm, No. 8

---

No. 2
# K3BaSe PBEsol optimized geometry
data_K3BaSe
_chemical_formula_sum 'K3 Ba1 Se1'
_cell_length_a 6.4014
_cell_length_b 6.4014
_cell_length_c 6.4014
_cell_angle_alpha 90.00
_cell_angle_beta 90.00
_cell_angle_gamma 90.00
_space_group_name_H-M_alt 'P 1'
_space_group_IT_number 1
loop_
_space_group_symop_operation_xyz
'x,y,z'
loop_
_atom_site_label
_atom_site_fract_x
_atom_site_fract_y
_atom_site_fract_z
K1 0.0000 0.0000 0.5000
K2 0.0000 0.5000 0.0000
K3 0.5000 0.0000 0.0000
Ba1 0.5000 0.5000 0.5000
Se1 0.0000 0.0000 0.0000
# Crystal system: cubic
# Uncorrected formation energy: -0.3684 eV per atom
# SG: Pm-3m, No. 221

---

Table of total magnetic moment (μB/atom), in record order: 0.001 0.189